Run a
LiYSc | GGA-PBE | relaxed

a b c (Å): 3.400 3.400 15.781
angles (deg): 90.01 90.01 60.02
Positions (direct):
Li1 0.167 0.167 0.073
Li2 0.833 0.833 0.927
Y1 0.167 0.167 0.403
Y2 0.833 0.833 0.597
Sc1 0.499 0.499 0.769
Sc2 0.501 0.501 0.231

Values from the calculation:
Its mass density is 2959 kg/m3. Its total magnetization is 0.61 μB/f.u. The space group is C2/m (12). Its crystal system is monoclinic.



Run b
LiYSc | GGA-PBE | relaxed

a b c (Å): 3.364 3.364 8.077
angles (deg): 90.00 90.00 120.00
Positions (direct):
Li1 0.000 0.000 0.000
Y1 0.667 0.333 0.653
Sc1 0.333 0.667 0.320

Values from the calculation:
Its mass density is 2954 kg/m3. Its total magnetization is 0.14 μB/f.u. The space group is P3m1 (156). Its crystal system is trigonal.



Run c
LiYSc | GGA-PBE | relaxed

a b c (Å): 4.909 4.909 4.909
angles (deg): 60.00 60.00 60.00
Positions (direct):
Li1 0.000 0.000 0.000
Y1 0.250 0.250 0.250
Sc1 0.750 0.750 0.750

Values from the calculation:
Its mass density is 2795 kg/m3. Its total magnetization is 1.04 μB/f.u. The space group is F-43m (216). Its crystal system is cubic.



Energy ordering: run a at the bottom, the next structure 0.044 eV/atom above.



Run a
Li2YSc2 | GGA-PBE | relaxed

a b c (Å): 8.432 8.432 8.432
angles (deg): 152.54 152.54 39.22
Positions (direct):
Li1 0.250 0.750 0.500
Li2 0.750 0.250 0.500
Y1 0.000 0.000 0.000
Sc1 0.399 0.399 0.000
Sc2 0.601 0.601 0.000

Values from the calculation:
Its mass density is 2515 kg/m3. Its total magnetization is 0.00 μB/f.u. The space group is I4/mmm (139). Its crystal system is tetragonal.



Run b
Li2YSc2 | GGA-PBE | relaxed

a b c (Å): 8.433 8.433 3.365
angles (deg): 90.00 90.00 90.00
Positions (direct):
Li1 0.126 0.374 0.000
Li2 0.374 0.874 0.000
Li3 0.626 0.126 0.000
Li4 0.874 0.626 0.000
Y1 0.000 0.000 0.000
Y2 0.500 0.500 0.000
Sc1 0.170 0.670 0.500
Sc2 0.330 0.170 0.500
Sc3 0.670 0.830 0.500
Sc4 0.830 0.330 0.500

Values from the calculation:
Its mass density is 2674 kg/m3. Its total magnetization is 2.13 μB/f.u. The space group is P4/mbm (127). Its crystal system is tetragonal.



Energy ordering: run b at the bottom, the next structure 0.069 eV/atom above.



Run a
Li2ScZn2 | GGA-PBE | relaxed

a b c (Å): 7.672 7.672 2.907
angles (deg): 90.00 90.00 90.00
Positions (direct):
Li1 0.167 0.333 0.000
Li2 0.333 0.833 0.000
Li3 0.667 0.167 0.000
Li4 0.833 0.667 0.000
Sc1 0.000 0.000 0.500
Sc2 0.500 0.500 0.500
Zn1 0.129 0.629 0.500
Zn2 0.371 0.129 0.500
Zn3 0.629 0.871 0.500
Zn4 0.871 0.371 0.500

Values from the calculation:
Its mass density is 3681 kg/m3. Its total magnetization is 0.68 μB/f.u. The space group is P4/mbm (127). Its crystal system is tetragonal.



Run b
Li2ScZn2 | GGA-PBE | relaxed

a b c (Å): 7.481 7.481 2.931
angles (deg): 90.00 90.00 90.00
Positions (direct):
Li1 0.118 0.382 0.000
Li2 0.382 0.882 0.000
Li3 0.618 0.118 0.000
Li4 0.882 0.618 0.000
Sc1 0.000 0.000 0.000
Sc2 0.500 0.500 0.000
Zn1 0.183 0.683 0.500
Zn2 0.317 0.183 0.500
Zn3 0.683 0.817 0.500
Zn4 0.817 0.317 0.500

Values from the calculation:
Its mass density is 3839 kg/m3. Its total magnetization is 0.00 μB/f.u. The space group is P4/mbm (127). Its crystal system is tetragonal.



Energy ordering: run b at the bottom, the next structure 0.094 eV/atom above.



Run a
LiZrSc | GGA-PBE | relaxed

a b c (Å): 5.666 5.666 7.986
angles (deg): 106.71 106.71 32.78
Positions (direct):
Li1 0.000 0.000 0.000
Li2 0.658 0.658 0.285
Zr1 0.299 0.299 0.641
Zr2 0.592 0.592 0.744
Sc1 0.291 0.291 0.044
Sc2 0.957 0.957 0.409

Values from the calculation:
Its mass density is 3589 kg/m3. Its total magnetization is 0.00 μB/f.u. The space group is Cm (8). Its crystal system is monoclinic.



Run b
LiZrSc | GGA-PBE | relaxed

a b c (Å): 5.488 5.488 8.519
angles (deg): 111.09 111.09 33.91
Positions (direct):
Li1 0.190 0.190 0.086
Li2 0.810 0.810 0.914
Zr1 0.154 0.154 0.564
Zr2 0.846 0.846 0.436
Sc1 0.486 0.486 0.770
Sc2 0.514 0.514 0.230

Values from the calculation:
Its mass density is 3584 kg/m3. Its total magnetization is 0.00 μB/f.u. The space group is C2/m (12). Its crystal system is monoclinic.



Run c
LiZrSc | GGA-PBE | relaxed

a b c (Å): 6.804 6.804 6.445
angles (deg): 103.32 103.32 27.24
Positions (direct):
Li1 0.000 0.000 0.247
Li2 0.000 0.000 0.753
Zr1 0.330 0.330 0.918
Zr2 0.670 0.670 0.082
Sc1 0.332 0.332 0.413
Sc2 0.668 0.668 0.587

Values from the calculation:
Its mass density is 3582 kg/m3. Its total magnetization is 0.00 μB/f.u. The space group is C2/m (12). Its crystal system is monoclinic.



Energy ordering: run b at the bottom, the next structure 0.021 eV/atom above.



Run a
LiZrSc | GGA-PBE | relaxed

a b c (Å): 5.547 3.137 7.986
angles (deg): 90.00 90.50 90.00
Positions (direct):
Li1 0.243 0.250 0.001
Li2 0.757 0.750 0.999
Zr1 0.084 0.750 0.348
Zr2 0.916 0.250 0.652
Sc1 0.416 0.750 0.659
Sc2 0.584 0.250 0.341

Values from the calculation:
Its mass density is 3421 kg/m3. Its total magnetization is 0.00 μB/f.u. The space group is P2_1/m (11). Its crystal system is monoclinic.



Run b
LiZrSc | GGA-PBE | relaxed

a b c (Å): 3.156 5.071 8.702
angles (deg): 90.00 90.49 90.00
Positions (direct):
Li1 0.128 0.250 0.084
Li2 0.872 0.750 0.916
Zr1 0.011 0.750 0.570
Zr2 0.989 0.250 0.430
Sc1 0.494 0.250 0.739
Sc2 0.506 0.750 0.261

Values from the calculation:
Its mass density is 3413 kg/m3. Its total magnetization is 0.00 μB/f.u. The space group is P2_1/m (11). Its crystal system is monoclinic.



Energy ordering: run b at the bottom, the next structure 0.015 eV/atom above.



Run a
LiZrSc | GGA-PBE | relaxed

a b c (Å): 5.136 5.136 5.737
angles (deg): 90.00 90.00 120.00
Positions (direct):
Li1 0.000 0.000 0.000
Li2 0.000 0.000 0.500
Zr1 0.333 0.667 0.250
Zr2 0.667 0.333 0.750
Sc1 0.333 0.667 0.750
Sc2 0.667 0.333 0.250

Values from the calculation:
Its mass density is 3627 kg/m3. Its total magnetization is 0.00 μB/f.u. The space group is P6_3/mmc (194). Its crystal system is hexagonal.



Run b
LiZrSc | GGA-PBE | relaxed

a b c (Å): 5.573 5.573 8.392
angles (deg): 111.38 111.38 33.08
Positions (direct):
Li1 0.000 0.000 0.000
Li2 0.624 0.624 0.842
Zr1 0.295 0.295 0.681
Zr2 0.660 0.660 0.348
Sc1 0.327 0.327 0.152
Sc2 0.972 0.972 0.501

Values from the calculation:
Its mass density is 3613 kg/m3. Its total magnetization is 0.00 μB/f.u. The space group is Cm (8). Its crystal system is monoclinic.



Energy ordering: run b at the bottom, the next structure 0.325 eV/atom above.



Run a
LiZrSc | GGA-PBE | relaxed

a b c (Å): 3.145 3.145 8.080
angles (deg): 90.00 90.00 120.00
Positions (direct):
Li1 0.000 0.000 0.000
Zr1 0.333 0.667 0.658
Sc1 0.667 0.333 0.347

Values from the calculation:
Its mass density is 3434 kg/m3. Its total magnetization is 0.00 μB/f.u. The space group is P3m1 (156). Its crystal system is trigonal.



Run b
LiZrSc | GGA-PBE | relaxed

a b c (Å): 3.136 6.044 7.853
angles (deg): 77.14 78.70 75.37
Positions (direct):
Li1 0.000 0.000 0.000
Li2 0.292 0.469 0.994
Zr1 0.050 0.323 0.634
Zr2 0.767 0.179 0.338
Sc1 0.492 0.700 0.345
Sc2 0.754 0.841 0.681

Values from the calculation:
Its mass density is 3423 kg/m3. Its total magnetization is 0.00 μB/f.u. The space group is P1 (1). Its crystal system is triclinic.



Energy ordering: run a at the bottom, the next structure 0.017 eV/atom above.



Run a
LiZrSc | GGA-PBE | relaxed

a b c (Å): 3.054 4.999 8.575
angles (deg): 90.00 90.00 90.00
Positions (direct):
Li1 0.000 0.000 0.000
Li2 0.500 0.500 0.487
Zr1 0.000 0.000 0.360
Zr2 0.500 0.000 0.670
Sc1 0.000 0.500 0.795
Sc2 0.500 0.500 0.149

Values from the calculation:
Its mass density is 3631 kg/m3. Its total magnetization is 0.00 μB/f.u. The space group is Pmm2 (25). Its crystal system is orthorhombic.



Run b
LiZrSc | GGA-PBE | relaxed

a b c (Å): 8.211 8.211 5.512
angles (deg): 97.05 97.05 22.08
Positions (direct):
Li1 0.000 0.000 0.000
Li2 0.504 0.504 0.501
Zr1 0.177 0.177 0.724
Zr2 0.326 0.326 0.107
Sc1 0.672 0.672 0.226
Sc2 0.832 0.832 0.607

Values from the calculation:
Its mass density is 3430 kg/m3. Its total magnetization is 0.00 μB/f.u. The space group is Cm (8). Its crystal system is monoclinic.



Energy ordering: run b at the bottom, the next structure 0.112 eV/atom above.